Entry 1:
{"formula": "Ce5Hg2Os", "functional": "GGA-PBE", "state": "optimized geometry", "lattice": [[2.777, -8.128, 0.000], [2.777, 8.128, 0.000], [0.000, 0.000, 12.111]], "species": ["Ce", "Ce", "Ce", "Ce", "Ce", "Ce", "Ce", "Ce", "Ce", "Ce", "Hg", "Hg", "Hg", "Hg", "Os", "Os"], "fractional_positions": [[0.054, 0.946, 0.595], [0.054, 0.946, 0.905], [0.294, 0.706, 0.575], [0.294, 0.706, 0.925], [0.317, 0.683, 0.250], [0.683, 0.317, 0.750], [0.706, 0.294, 0.075], [0.706, 0.294, 0.425], [0.946, 0.054, 0.095], [0.946, 0.054, 0.405], [0.138, 0.862, 0.132], [0.138, 0.862, 0.368], [0.862, 0.138, 0.632], [0.862, 0.138, 0.868], [0.177, 0.823, 0.750], [0.823, 0.177, 0.250]], "e_above_lowest_polymorph_mev_per_atom": 307, "formation_energy_ev_per_atom": 0.107}

***

Entry 2:
{"formula": "Os3Pb6O14", "functional": "GGA-PBE", "state": "optimized geometry", "lattice": [[9.316, 0.000, 0.000], [-4.658, 8.068, 0.000], [0.000, 0.000, 5.679]], "species": ["Os", "Os", "Os", "Pb", "Pb", "Pb", "Pb", "Pb", "Pb", "O", "O", "O", "O", "O", "O", "O", "O", "O", "O", "O", "O", "O", "O"], "fractional_positions": [[0.000, 0.000, 0.000], [0.333, 0.667, 0.464], [0.667, 0.333, 0.451], [0.033, 0.452, 0.034], [0.039, 0.749, 0.540], [0.251, 0.290, 0.540], [0.419, 0.967, 0.034], [0.548, 0.581, 0.034], [0.710, 0.961, 0.540], [0.000, 0.000, 0.320], [0.127, 0.558, 0.654], [0.183, 0.006, 0.866], [0.208, 0.740, 0.242], [0.260, 0.468, 0.242], [0.431, 0.873, 0.654], [0.442, 0.569, 0.654], [0.461, 0.260, 0.319], [0.532, 0.792, 0.242], [0.667, 0.333, 0.764], [0.740, 0.201, 0.319], [0.799, 0.539, 0.319], [0.823, 0.817, 0.866], [0.994, 0.177, 0.866]], "dft_energy_ev_per_atom": -6.4155}

***

Entry 3:
{"formula": "Pr2Al2Cu", "functional": "GGA-PBE", "state": "optimized geometry", "lattice": [[5.329, -2.324, 0.000], [5.329, 2.324, 0.000], [-4.872, 0.000, 9.576]], "species": ["Pr", "Pr", "Pr", "Pr", "Al", "Al", "Al", "Al", "Cu", "Cu"], "fractional_positions": [[0.087, 0.087, 0.395], [0.324, 0.324, 0.825], [0.676, 0.676, 0.175], [0.913, 0.913, 0.605], [0.094, 0.094, 0.945], [0.378, 0.378, 0.379], [0.622, 0.622, 0.621], [0.906, 0.906, 0.055], [0.367, 0.367, 0.140], [0.633, 0.633, 0.860]], "formation_energy_ev_per_atom": -0.340}

***

Entry 4:
{"formula": "NbHOs2Rh", "functional": "GGA-PBE", "state": "optimized geometry", "lattice": [[3.969, 0.000, 0.000], [0.000, 3.969, 0.000], [0.000, 0.000, 3.958]], "species": ["Nb", "H", "Os", "Os", "Rh"], "fractional_positions": [[0.000, 0.000, 0.000], [0.500, 0.500, 0.500], [0.000, 0.500, 0.500], [0.500, 0.000, 0.500], [0.500, 0.500, 0.000]], "e_above_lowest_polymorph_mev_per_atom": 0}

***

Entry 5:
{"formula": "Th3CoCl3", "functional": "GGA-PBE", "state": "optimized geometry", "lattice": [[3.481, 2.010, 10.516], [-3.481, 2.010, 10.516], [0.000, -4.019, 10.516]], "species": ["Th", "Th", "Th", "Th", "Th", "Th", "Co", "Co", "Cl", "Cl", "Cl", "Cl", "Cl", "Cl"], "fractional_positions": [[0.103, 0.452, 0.802], [0.198, 0.897, 0.548], [0.452, 0.802, 0.103], [0.548, 0.198, 0.897], [0.802, 0.103, 0.452], [0.897, 0.548, 0.198], [0.167, 0.167, 0.167], [0.833, 0.833, 0.833], [0.065, 0.720, 0.392], [0.280, 0.608, 0.935], [0.392, 0.065, 0.720], [0.608, 0.935, 0.280], [0.720, 0.392, 0.065], [0.935, 0.280, 0.608]], "dft_energy_ev_per_atom": -6.1988}

***

Entry 6:
{"formula": "Pm2Co5Si4", "functional": "GGA-PBE", "state": "optimized geometry", "lattice": [[0.000, 4.670, 6.561], [2.695, 0.000, 6.561], [2.695, 4.670, 0.000]], "species": ["Pm", "Pm", "Co", "Co", "Co", "Co", "Co", "Si", "Si", "Si", "Si"], "fractional_positions": [[0.134, 0.134, 0.866], [0.866, 0.866, 0.134], [0.000, 0.000, 0.500], [0.250, 0.250, 0.250], [0.500, 0.500, 0.000], [0.500, 0.500, 0.500], [0.750, 0.750, 0.750], [0.214, 0.524, 0.476], [0.476, 0.786, 0.214], [0.524, 0.214, 0.786], [0.786, 0.476, 0.524]], "dft_energy_ev_per_atom": -6.7097}

***

Entry 7:
{"formula": "Sm4InAg3", "functional": "GGA-PBE", "state": "optimized geometry", "lattice": [[3.734, 0.000, 0.000], [0.000, 5.327, 0.000], [0.000, 0.000, 10.569]], "species": ["Sm", "Sm", "Sm", "Sm", "In", "Ag", "Ag", "Ag"], "fractional_positions": [[0.000, 0.000, 0.000], [0.000, 0.000, 0.500], [0.000, 0.500, 0.244], [0.000, 0.500, 0.756], [0.500, 0.500, 0.500], [0.500, 0.000, 0.252], [0.500, 0.000, 0.748], [0.500, 0.500, 0.000]], "e_above_lowest_polymorph_mev_per_atom": 0, "formation_energy_ev_per_atom": -0.322}

***

Entry 8:
{"formula": "PaTcGe", "functional": "GGA-PBE", "state": "optimized geometry", "lattice": [[1.634, -7.062, 0.000], [1.634, 7.062, 0.000], [0.000, 0.000, 5.273]], "species": ["Pa", "Pa", "Tc", "Tc", "Ge", "Ge"], "fractional_positions": [[0.176, 0.824, 0.750], [0.824, 0.176, 0.250], [0.344, 0.656, 0.750], [0.656, 0.344, 0.250], [0.500, 0.500, 0.000], [0.500, 0.500, 0.500]], "e_above_lowest_polymorph_mev_per_atom": 479, "formation_energy_ev_per_atom": -0.035}

***

| no. | M_tot (μB per formula unit) |
| --- | --- |
| 1 | 0.267 |
| 2 | 6.012 |
| 3 | 0.000 |
| 4 | 0.000 |
| 5 | 0.000 |
| 6 | 0.000 |
| 7 | 0.000 |
| 8 | 0.000 |